CuReSe2: optimized geometry, GGA-PBE.

Computed properties:
Crystal system: tetragonal
Energy above the most stable polymorph in this dataset (eV per atom): 0.205
Space-group type: P4/mmm, No. 123
Size of the total moment (μB per formula unit): 0.0
Formation energy without anion corrections (eV per atom): 0.384
V (Å³/cell): 64.4

Lattice parameters (Å, degrees): 3.1056 3.1056 6.6808 90.00 90.00 90.00
Last column: nearest neighbours and their distance in Å.
Sites, in units of the cell vectors:
Cu 0.0000 0.0000 0.0000  8 Se 2.82, 4 Cu 3.11
Re 0.0000 0.0000 0.5000  8 Se 2.70
Se 0.5000 0.5000 0.2659  4 Re 2.70, 4 Cu 2.82
Se 0.5000 0.5000 0.7341  4 Re 2.70, 4 Cu 2.82